Record 1
A plane-wave DFT calculation with GGA-PBE was carried out for crystalline Ho4ErPt2 at its relaxed geometry.

Geometry as CIF:
```
data_Ho4ErPt2
_cell_length_a 7.726
_cell_length_b 6.316
_cell_length_c 8.051
_cell_angle_alpha 90.00
_cell_angle_beta 112.60
_cell_angle_gamma 90.00
_symmetry_space_group_name_H-M 'P 1'
_symmetry_Int_Tables_number 1
_symmetry_space_group_name_Hall 'P 1'
loop_
_atom_site_label
_atom_site_type_symbol
_atom_site_fract_x
_atom_site_fract_y
_atom_site_fract_z
_atom_site_occupancy
Ho1 Ho 0.017 0.250 0.388 1
Ho2 Ho 0.247 0.750 0.345 1
Ho3 Ho 0.410 0.005 0.770 1
Ho4 Ho 0.410 0.495 0.770 1
Ho5 Ho 0.590 0.505 0.230 1
Ho6 Ho 0.590 0.995 0.230 1
Ho7 Ho 0.753 0.250 0.655 1
Ho8 Ho 0.983 0.750 0.612 1
Er1 Er 0.153 0.250 0.028 1
Er2 Er 0.847 0.750 0.972 1
Pt1 Pt 0.243 0.750 0.991 1
Pt2 Pt 0.378 0.250 0.413 1
Pt3 Pt 0.622 0.750 0.587 1
Pt4 Pt 0.757 0.250 0.009 1
```

Results
- magnetization (μB/cell) = 0.001
- space-group type = P2_1/m, No. 11
- formation energy from the elements (eV/atom) = -0.71

***

Record 2
A plane-wave DFT calculation with GGA-PBE was carried out for crystalline HoEr2Pt at its relaxed geometry.

Geometry as CIF:
```
data_HoEr2Pt
_cell_length_a 3.543
_cell_length_b 3.543
_cell_length_c 8.311
_cell_angle_alpha 90.00
_cell_angle_beta 90.00
_cell_angle_gamma 90.00
_symmetry_space_group_name_H-M 'P 1'
_symmetry_Int_Tables_number 1
_symmetry_space_group_name_Hall 'P 1'
loop_
_atom_site_label
_atom_site_type_symbol
_atom_site_fract_x
_atom_site_fract_y
_atom_site_fract_z
_atom_site_occupancy
Ho1 Ho 0.000 0.000 0.000 1
Er1 Er 0.500 0.500 0.304 1
Er2 Er 0.500 0.500 0.696 1
Pt1 Pt 0.000 0.000 0.500 1
```

Results
- magnetization (μB/cell) = 0.001
- space-group type = P4/mmm, No. 123
- formation energy from the elements (eV/atom) = -0.61
- polymorph energy (0 for the lowest one) (eV per formula unit) = 0.512

***

Record 3
A plane-wave DFT calculation with GGA-PBE was carried out for crystalline Ho3ErPt4 at its relaxed geometry.

Geometry as CIF:
```
data_Ho3ErPt4
_cell_length_a 8.483
_cell_length_b 8.483
_cell_length_c 8.483
_cell_angle_alpha 154.33
_cell_angle_beta 134.28
_cell_angle_gamma 53.17
_symmetry_space_group_name_H-M 'P 1'
_symmetry_Int_Tables_number 1
_symmetry_space_group_name_Hall 'P 1'
loop_
_atom_site_label
_atom_site_type_symbol
_atom_site_fract_x
_atom_site_fract_y
_atom_site_fract_z
_atom_site_occupancy
Ho1 Ho 0.000 0.000 0.000 1
Ho2 Ho 0.300 0.800 0.500 1
Ho3 Ho 0.700 0.200 0.500 1
Er1 Er 0.500 0.500 0.000 1
Pt1 Pt 0.078 0.372 0.706 1
Pt2 Pt 0.335 0.628 0.706 1
Pt3 Pt 0.665 0.372 0.294 1
Pt4 Pt 0.922 0.628 0.294 1
```

Results
- magnetization (μB/cell) = 0.000
- space-group type = Immm, No. 71
- formation energy from the elements (eV/atom) = -1.07